Material: Eu2CoPtO6
Method: DFT, PBE+U
State: relaxed

abc: 5.4969 5.7621 9.5432
angles: 90.00 125.13 90.00
Space group P2_1/c (No. 14)
Unique sites:
Eu 0.2346 0.0607 0.2494 [4 per cell]
Co 0.0000 0.0000 0.5000 [2 per cell]
Pt 0.5000 0.0000 0.0000 [2 per cell]
O 0.1484 0.1944 0.9519 [4 per cell]
O 0.2580 0.7031 0.9486 [4 per cell]
O 0.3496 0.0341 0.7501 [4 per cell]

## Properties
Magnetization in μB/atom: 0.90
N(E_F) in states/eV/cell: 35.1
Mass density in g/cm³: 8.79
Total energy in eV/f.u.: -79.3